Entry 1:
This record from Alexandria via LeMat-Bulk describes YScCoOs after structural relaxation. The functional is PBE.

Unit cell a=4.6460 b=4.6460 c=4.6460 alpha=60.00 beta=60.00 gamma=60.00
Positions (direct):
Y 0.0000 0.0000 0.0000
Sc 0.5000 0.5000 0.5000
Co 0.7500 0.7500 0.7500
Os 0.2500 0.2500 0.2500

Output
SG	F-43m
total magnetization	0.00	μB per cell
E	-7.970	eV per atom
D(E_F)	3.82	states/eV/cell
E_form	-0.187	eV per atom


Entry 2:
This record from Alexandria via LeMat-Bulk describes ZrScCoOs after structural relaxation. The functional is PBE.

Unit cell a=4.5446 b=4.5446 c=4.5446 alpha=60.00 beta=60.00 gamma=60.00
Positions (direct):
Zr 0.0000 0.0000 0.0000
Sc 0.5000 0.5000 0.5000
Co 0.7500 0.7500 0.7500
Os 0.2500 0.2500 0.2500

Output
SG	F-43m
total magnetization	0.28	μB per cell
E	-8.748	eV per atom
D(E_F)	1.74	states/eV/cell
E_form	-0.444	eV per atom


Entry 3:
This record from Alexandria via LeMat-Bulk describes CoOsSe3 after structural relaxation. The functional is PBE.

Unit cell a=4.8853 b=4.8853 c=4.8853 alpha=90.00 beta=90.00 gamma=90.00
Positions (direct):
Co 0.0000 0.0000 0.0000
Os 0.5000 0.5000 0.5000
Se 0.0000 0.5000 0.5000
Se 0.5000 0.0000 0.5000
Se 0.5000 0.5000 0.0000

Output
SG	Pm-3m
total magnetization	1.65	μB per cell
E	-4.645	eV per atom
uncorrected formation energy	5.565	eV/f.u.
D(E_F)	9.01	states/eV/cell


Entry 4:
This record from Alexandria via LeMat-Bulk describes Co2OsSe after structural relaxation. The functional is PBE.

Unit cell a=2.7703 b=4.1033 c=4.5468 alpha=90.00 beta=90.00 gamma=90.00
Positions (direct):
Co 0.0000 0.0000 0.0000
Co 0.0000 0.5000 0.3118
Os 0.5000 0.5000 0.8283
Se 0.5000 0.0000 0.4634

Output
SG	Pmm2
total magnetization	1.39	μB per cell
E	-6.837	eV per atom
uncorrected formation energy	1.579	eV/f.u.
D(E_F)	4.59	states/eV/cell


Entry 5:
This record from Alexandria via LeMat-Bulk describes Co2OsSe after structural relaxation. The functional is PBE.

Unit cell a=4.3746 b=4.3746 c=4.3746 alpha=127.17 beta=127.17 gamma=77.98
Positions (direct):
Co 0.0000 0.0000 0.0000
Co 0.7500 0.2500 0.5000
Os 0.2500 0.7500 0.5000
Se 0.5000 0.5000 0.0000

Output
SG	I-4m2
total magnetization	1.78	μB per cell
E	-6.719	eV per atom
uncorrected formation energy	2.050	eV/f.u.
D(E_F)	3.98	states/eV/cell


Entry 6:
This record from Alexandria via LeMat-Bulk describes Co2OsSe after structural relaxation. The functional is PBE.

Unit cell a=2.7341 b=2.7341 c=7.0057 alpha=90.00 beta=90.00 gamma=90.00
Positions (direct):
Co 0.0000 0.0000 0.2430
Co 0.0000 0.0000 0.7570
Os 0.5000 0.5000 0.0000
Se 0.5000 0.5000 0.5000

Output
SG	P4/mmm
total magnetization	0.83	μB per cell
E	-6.901	eV per atom
uncorrected formation energy	1.321	eV/f.u.
D(E_F)	4.05	states/eV/cell